#a
Computed, not measured: LaAg2W at its PBEsol-relaxed geometry at the meta-GGA SCAN level of DFT.

Space-group type: P4/mmm, No. 123

```
data_LaAg2W
_chemical_formula_sum 'La1 Ag2 W1'
_cell_length_a 4.224
_cell_length_b 4.224
_cell_length_c 4.381
_cell_angle_alpha 90.00
_cell_angle_beta 90.00
_cell_angle_gamma 90.00
_symmetry_space_group_name_H-M 'P 1'
_symmetry_Int_Tables_number 1
loop_
_symmetry_equiv_pos_as_xyz
'x,y,z'
loop_
_atom_site_label
_atom_site_type_symbol
_atom_site_fract_x
_atom_site_fract_y
_atom_site_fract_z
La1 La 0.000 0.000 0.000
Ag1 Ag 0.000 0.500 0.500
Ag2 Ag 0.500 0.000 0.500
W1 W 0.500 0.500 0.000
```

#b
Computed, not measured: LaAg2W at its PBEsol-relaxed geometry at the meta-GGA SCAN level of DFT.

Space-group type: Cm, No. 8

```
data_LaAg2W
_chemical_formula_sum 'La1 Ag2 W1'
_cell_length_a 5.158
_cell_length_b 5.158
_cell_length_c 5.587
_cell_angle_alpha 98.05
_cell_angle_beta 98.05
_cell_angle_gamma 32.24
_symmetry_space_group_name_H-M 'P 1'
_symmetry_Int_Tables_number 1
loop_
_symmetry_equiv_pos_as_xyz
'x,y,z'
loop_
_atom_site_label
_atom_site_type_symbol
_atom_site_fract_x
_atom_site_fract_y
_atom_site_fract_z
La1 La 0.000 0.000 0.000
Ag1 Ag 0.505 0.505 0.511
Ag2 Ag 0.762 0.762 0.281
W1 W 0.250 0.250 0.722
```

It turns out #b is the most stable, with the second structure 0.032 eV/atom higher.